No. 1
Here is an optimized crystal structure of LaNdAsI from OQMD via LeMat-Bulk. Energies are from PBE.

The structure in extended XYZ format:
```
8
Lattice="4.307 0.000 0.000 -2.153 3.730 0.000 0.000 0.000 15.646" Properties=species:S:1:pos:R:3 pbc="T T T"
La 0.000 0.000 2.362
La 0.000 0.000 13.283
Nd 0.000 2.487 5.520
Nd 0.000 2.487 10.125
As 2.153 1.243 3.990
As 2.153 1.243 11.656
I 0.000 0.000 7.823
I 0.000 2.487 0.000
```

Values from the calculation:
E, eV per atom: -5.351
Magnetic moment, μB per cell: 0.00
Symmetry: P-6m2

No. 2
Here is an optimized crystal structure of LaPrAsI2 from OQMD via LeMat-Bulk. Energies are from PBE.

The structure in extended XYZ format:
```
5
Lattice="4.382 0.000 0.000 -2.191 3.795 0.000 0.000 0.000 11.371" Properties=species:S:1:pos:R:3 pbc="T T T"
La 0.000 0.000 0.000
Pr 0.000 2.530 3.289
As 2.191 1.265 1.660
I 0.000 0.000 5.361
I 0.000 2.530 9.266
```

Values from the calculation:
E, eV per atom: -5.035
Magnetic moment, μB per cell: 0.00
Symmetry: P3m1